No. 1
A plane-wave DFT calculation with PBEsol was carried out for crystalline ZnCu2Au at its relaxed geometry.

Summary:
crystal system = orthorhombic
space-group type = Pmmm, No. 47
energy of formation from the pure elements = -90 meV per atom

Cell: 2.759 3.586 5.384 Å, 90.00 90.00 90.00°
Sites, in units of the cell vectors:
Zn1 0.000 0.000 0.000
Cu1 0.500 0.500 0.234
Cu2 0.500 0.500 0.766
Au1 0.000 0.000 0.500

No. 2
A plane-wave DFT calculation with PBEsol was carried out for crystalline Mo2IrOs at its relaxed geometry.

Summary:
crystal system = orthorhombic
space-group type = Cmmm, No. 65
energy of formation from the pure elements = -127 meV per atom
offset from the most stable computed form = 0.015 eV/atom

Cell: 4.750 4.750 2.737 Å, 90.00 90.00 109.46°
Sites, in units of the cell vectors:
Mo1 0.000 0.500 0.000
Mo2 0.500 0.000 0.000
Ir1 0.000 0.000 0.500
Os1 0.500 0.500 0.500

No. 3
A plane-wave DFT calculation with PBEsol was carried out for crystalline Li2ZnP at its relaxed geometry.

Summary:
crystal system = tetragonal
space-group type = P4mm, No. 99
energy of formation from the pure elements = -209 meV per atom

Cell: 3.242 3.242 5.441 Å, 90.00 90.00 90.00°
Sites, in units of the cell vectors:
Li1 0.000 0.000 0.000
Li2 0.500 0.500 0.281
Zn1 0.500 0.500 0.755
P1 0.000 0.000 0.511

No. 4
A plane-wave DFT calculation with PBEsol was carried out for crystalline MoSe2SN at its relaxed geometry.

Summary:
crystal system = tetragonal
space-group type = P4/mmm, No. 123
formation energy without anion corrections = 0.993 eV per atom

Cell: 4.877 4.877 3.255 Å, 90.00 90.00 90.00°
Sites, in units of the cell vectors:
Mo1 0.000 0.000 0.000
Se1 0.000 0.500 0.500
Se2 0.500 0.000 0.500
S1 0.500 0.500 0.500
N1 0.500 0.500 0.000

No. 5
A plane-wave DFT calculation with PBEsol was carried out for crystalline PBr3O at its relaxed geometry.

Summary:
crystal system = orthorhombic
space-group type = Pnma, No. 62
formation energy without anion corrections = -0.743 eV per atom

Cell: 9.708 9.897 6.160 Å, 90.00 90.00 90.00°
Sites, in units of the cell vectors:
P1 0.188 0.250 0.104
P2 0.312 0.750 0.604
P3 0.688 0.250 0.396
P4 0.812 0.750 0.896
Br1 0.016 0.250 0.878
Br2 0.155 0.075 0.313
Br3 0.155 0.425 0.313
Br4 0.345 0.575 0.813
Br5 0.345 0.925 0.813
Br6 0.484 0.750 0.378
Br7 0.516 0.250 0.622
Br8 0.655 0.075 0.187
Br9 0.655 0.425 0.187
Br10 0.845 0.575 0.687
Br11 0.845 0.925 0.687
Br12 0.984 0.750 0.122
O1 0.175 0.750 0.497
O2 0.325 0.250 0.997
O3 0.675 0.750 0.003
O4 0.825 0.250 0.503

No. 6
A plane-wave DFT calculation with PBEsol was carried out for crystalline Ta2AuSe at its relaxed geometry.

Summary:
crystal system = tetragonal
space-group type = I-4m2, No. 119
formation energy without anion corrections = 0.263 eV per atom

Cell: 5.279 5.279 5.279 Å, 136.34 136.34 63.45°
Sites, in units of the cell vectors:
Ta1 0.000 0.000 0.000
Ta2 0.750 0.250 0.500
Au1 0.500 0.500 0.000
Se1 0.250 0.750 0.500

No. 7
A plane-wave DFT calculation with PBEsol was carried out for crystalline SrMg2Cd at its relaxed geometry.

Summary:
crystal system = monoclinic
space-group type = P2/m, No. 10
energy of formation from the pure elements = -61 meV per atom

Cell: 3.556 5.068 6.297 Å, 90.00 101.23 90.00°
Sites, in units of the cell vectors:
Sr1 0.000 0.000 0.000
Mg1 0.359 0.500 0.717
Mg2 0.641 0.500 0.283
Cd1 0.500 0.000 0.500

No. 8
A plane-wave DFT calculation with PBEsol was carried out for crystalline BeInNi at its relaxed geometry.

Summary:
crystal system = trigonal
space-group type = P3m1, No. 156
energy of formation from the pure elements = 280 meV per atom
offset from the most stable computed form = 0.342 eV/atom

Cell: 2.864 2.864 5.910 Å, 90.00 90.00 120.00°
Sites, in units of the cell vectors:
Be1 0.000 0.000 0.000
In1 0.333 0.667 0.613
Ni1 0.667 0.333 0.251

No. 9
A plane-wave DFT calculation with PBEsol was carried out for crystalline CaI2O6 at its relaxed geometry.

Summary:
crystal system = monoclinic
space-group type = P2_1/c, No. 14
formation energy without anion corrections = -1.090 eV per atom

Cell: 7.105 11.200 8.609 Å, 90.00 127.24 90.00°
Sites, in units of the cell vectors:
Ca1 0.223 0.100 0.221
Ca2 0.223 0.400 0.721
Ca3 0.777 0.600 0.279
Ca4 0.777 0.900 0.779
I1 0.249 0.075 0.773
I2 0.249 0.425 0.273
I3 0.317 0.717 0.770
I4 0.317 0.783 0.270
I5 0.683 0.217 0.730
I6 0.683 0.283 0.230
I7 0.751 0.575 0.727
I8 0.751 0.925 0.227
O1 0.039 0.546 0.202
O2 0.039 0.954 0.702
O3 0.051 0.204 0.678
O4 0.051 0.296 0.178
O5 0.120 0.601 0.600
O6 0.120 0.899 0.100
O7 0.390 0.095 0.037
O8 0.390 0.405 0.537
O9 0.456 0.744 0.152
O10 0.456 0.756 0.652
O11 0.459 0.110 0.560
O12 0.459 0.390 0.060
O13 0.541 0.610 0.940
O14 0.541 0.890 0.440
O15 0.544 0.244 0.348
O16 0.544 0.256 0.848
O17 0.610 0.595 0.463
O18 0.610 0.905 0.963
O19 0.880 0.101 0.900
O20 0.880 0.399 0.400
O21 0.949 0.704 0.822
O22 0.949 0.796 0.322
O23 0.961 0.046 0.298
O24 0.961 0.454 0.798

No. 10
A plane-wave DFT calculation with PBEsol was carried out for crystalline Zn3Cu at its relaxed geometry.

Summary:
crystal system = monoclinic
space-group type = P2/m, No. 10
energy of formation from the pure elements = -21 meV per atom

Cell: 2.571 4.161 4.949 Å, 90.00 100.32 90.00°
Sites, in units of the cell vectors:
Zn1 0.000 0.000 0.000
Zn2 0.262 0.500 0.742
Zn3 0.738 0.500 0.258
Cu1 0.500 0.000 0.500

No. 11
A plane-wave DFT calculation with PBEsol was carried out for crystalline LaMnCdIr2 at its relaxed geometry.

Summary:
crystal system = tetragonal
space-group type = P4/mmm, No. 123
energy of formation from the pure elements = 1676 meV per atom

Cell: 4.897 4.897 5.250 Å, 90.00 90.00 90.00°
Sites, in units of the cell vectors:
La1 0.000 0.000 0.000
Mn1 0.500 0.500 0.000
Cd1 0.000 0.000 0.500
Ir1 0.000 0.500 0.500
Ir2 0.500 0.000 0.500

No. 12
A plane-wave DFT calculation with PBEsol was carried out for crystalline Na2HgGeBi at its relaxed geometry.

Summary:
crystal system = tetragonal
space-group type = P4/mmm, No. 123
energy of formation from the pure elements = 216 meV per atom

Cell: 5.356 5.356 5.163 Å, 90.00 90.00 90.00°
Sites, in units of the cell vectors:
Na1 0.000 0.500 0.000
Na2 0.500 0.000 0.000
Hg1 0.000 0.000 0.000
Ge1 0.000 0.000 0.500
Bi1 0.500 0.500 0.500

No. 13
A plane-wave DFT calculation with PBEsol was carried out for crystalline CoRe3 at its relaxed geometry.

Summary:
crystal system = hexagonal
space-group type = P6_3/mmc, No. 194
energy of formation from the pure elements = -76 meV per atom

Cell: 5.365 5.365 4.308 Å, 90.00 90.00 120.00°
Sites, in units of the cell vectors:
Co1 0.333 0.667 0.250
Co2 0.667 0.333 0.750
Re1 0.167 0.334 0.750
Re2 0.167 0.833 0.750
Re3 0.334 0.167 0.250
Re4 0.666 0.833 0.750
Re5 0.833 0.167 0.250
Re6 0.833 0.666 0.250